The following is a GGA-PBEsol calculation of a geometry-optimized Tl2CuI structure, from the Alexandria database.

Lattice parameters (Å, degrees): 7.7189 7.7189 7.7189 90.00 90.00 90.00
Space group Fm-3m (No. 225)
Symmetry-distinct sites (fractional):
Tl  0.2500  0.2500  0.2500
Cu  0.0000  0.0000  0.0000
I  0.0000  0.0000  0.5000

Properties
Magnetic moment ... 0.0 μB/cell
Electronic total energy ... -2.581 eV per atom
D(E_F) ... 1.131 states/eV per cell